# 1
This record from the Alexandria database describes Ce8Sb3Te4Se after structural relaxation. The functional is PBE-GGA.

Cell: 8.899 8.979 8.901 Å, 119.73 119.99 90.00°
Element x y z (fractional)
Ce 0.251 0.254 0.502
Ce 0.755 0.740 0.997
Ce 0.245 0.260 0.003
Ce 0.757 0.260 0.515
Ce 0.749 0.746 0.498
Ce 0.243 0.740 0.485
Ce 0.242 0.740 0.997
Ce 0.758 0.260 0.003
Te 0.500 0.000 0.500
Te 0.000 0.000 0.500
Te 0.500 0.000 0.000
Te 0.000 0.000 0.000
Sb 0.500 0.500 0.000
Sb 0.500 0.500 0.500
Sb 0.000 0.500 0.500
Se 0.000 0.500 0.000

Calculated values
The formation energy (no corrections) is -1.309 eV/atom. The calculation puts the total magnetization at 8.89 μB/f.u. The calculated volume is 31.561 Å³/atom. As for the density: 6.83 g/cm³. As for the symmetry: R-3m, No. 166.

=====

# 2
This record from the Alexandria database describes HfTiNiMo after structural relaxation. The functional is PBE-GGA.

Cell: 4.483 4.483 4.483 Å, 60.00 60.00 60.00°
Element x y z (fractional)
Ni 0.500 0.500 0.500
Hf 0.750 0.750 0.750
Mo 0.000 0.000 0.000
Ti 0.250 0.250 0.250

Calculated values
For the energy above the most stable polymorph in this dataset, the calculation gives 15.4 meV per atom. The calculation puts the total magnetization at 0.00 μB/f.u. The calculated volume is 15.924 Å³/atom. As for the density: 9.93 g/cm³. As for the symmetry: F-43m, No. 216.

=====

# 3
This record from the Alexandria database describes Li5Ho2Pd5 after structural relaxation. The functional is PBE-GGA.

Cell: 4.269 5.900 9.310 Å, 110.33 90.00 111.21°
Element x y z (fractional)
Li 0.374 0.748 0.728
Li 0.500 0.000 0.500
Li 0.651 0.301 0.007
Li 0.626 0.252 0.272
Li 0.349 0.699 0.993
Pd 0.840 0.680 0.506
Pd 0.160 0.320 0.494
Pd 0.000 0.000 0.000
Pd 0.747 0.494 0.755
Pd 0.253 0.506 0.245
Ho 0.921 0.843 0.252
Ho 0.079 0.157 0.748

Calculated values
The calculation puts the total magnetization at 0.00 μB/f.u. The calculated volume is 16.905 Å³/atom. As for the density: 7.34 g/cm³. As for the symmetry: C2/m, No. 12. Its final energy is -4.201 eV per atom.

=====

# 4
This record from the Alexandria database describes LiV2Mo after structural relaxation. The functional is PBE-GGA.

Cell: 2.901 2.901 9.351 Å, 81.08 81.08 60.00°
Element x y z (fractional)
Mo 0.500 0.500 0.500
V 0.902 0.902 0.293
V 0.098 0.098 0.707
Li 0.000 0.000 0.000

Calculated values
For the energy above the most stable polymorph in this dataset, the calculation gives 231.6 meV per atom. The calculation puts the total magnetization at 0.01 μB/f.u. The calculated volume is 16.759 Å³/atom. As for the density: 5.07 g/cm³. As for the symmetry: R-3m, No. 166.

=====

# 5
This record from the Alexandria database describes Sc4TcSe2 after structural relaxation. The functional is PBE-GGA.

Cell: 3.629 6.575 13.064 Å, 90.00 90.00 106.02°
Element x y z (fractional)
Sc 0.956 0.911 0.750
Sc 0.203 0.407 0.871
Sc 0.500 0.000 0.000
Sc 0.797 0.593 0.129
Sc 0.203 0.407 0.629
Sc 0.797 0.593 0.371
Sc 0.500 0.000 0.500
Sc 0.044 0.089 0.250
Tc 0.396 0.792 0.250
Tc 0.604 0.208 0.750
Se 0.141 0.282 0.433
Se 0.859 0.718 0.933
Se 0.859 0.718 0.567
Se 0.141 0.282 0.067

Calculated values
The formation energy (no corrections) is -0.890 eV/atom. The calculation puts the total magnetization at 0.00 μB/f.u. The calculated volume is 21.404 Å³/atom. As for the density: 4.83 g/cm³. As for the symmetry: Cmcm, No. 63.

=====

# 6
This record from the Alexandria database describes MgMn2Tl after structural relaxation. The functional is PBE-GGA.

Cell: 4.704 4.704 4.704 Å, 60.00 60.00 60.00°
Element x y z (fractional)
Mg 0.500 0.500 0.500
Mn 0.000 0.000 0.000
Mn 0.250 0.250 0.250
Tl 0.750 0.750 0.750

Calculated values
The calculation puts the total magnetization at 7.35 μB/f.u. The calculated volume is 18.405 Å³/atom. As for the density: 7.64 g/cm³. As for the symmetry: F-43m, No. 216. Its final energy is -5.119 eV per atom.

=====

# 7
This record from the Alexandria database describes ZnCuRh2 after structural relaxation. The functional is PBE-GGA.

Cell: 4.651 4.651 4.651 Å, 131.78 131.78 70.57°
Element x y z (fractional)
Zn 0.500 0.500 0.000
Rh 0.250 0.750 0.500
Rh 0.000 0.000 0.000
Cu 0.750 0.250 0.500

Calculated values
The calculation puts the total magnetization at 0.54 μB/f.u. The calculated volume is 13.705 Å³/atom. As for the density: 10.14 g/cm³. As for the symmetry: I-4m2, No. 119. Its final energy is -5.118 eV per atom.

=====

# 8
This record from the Alexandria database describes Ta3Rh after structural relaxation. The functional is PBE-GGA.

Cell: 9.556 5.567 5.246 Å, 90.00 90.00 90.00°
Element x y z (fractional)
Rh 0.250 0.375 0.934
Rh 0.750 0.875 0.566
Rh 0.250 0.125 0.434
Rh 0.750 0.625 0.066
Ta 0.520 0.870 0.270
Ta 0.750 0.125 0.993
Ta 0.750 0.375 0.493
Ta 0.250 0.625 0.507
Ta 0.250 0.875 0.007
Ta 0.020 0.130 0.730
Ta 0.980 0.870 0.270
Ta 0.980 0.630 0.770
Ta 0.480 0.130 0.730
Ta 0.020 0.370 0.230
Ta 0.480 0.370 0.230
Ta 0.520 0.630 0.770

Calculated values
The calculation puts the total magnetization at 0.00 μB/f.u. The calculated volume is 17.443 Å³/atom. As for the density: 15.37 g/cm³. As for the symmetry: Pnma, No. 62. Its final energy is -10.852 eV per atom.